This record from Alexandria describes a relaxed structure of BeCrFe2. The functional is GGA-PBE.

Structure (POSCAR):
```
BeCrFe2
1.0
2.402 0.006 0.000
-0.602 2.325 0.000
0.000 0.000 7.560
Fe Be Cr
2 1 1
direct
0.000 0.000 0.002
0.500 0.500 0.265
0.000 0.000 0.495
0.500 0.500 0.738
```

Properties
E_form ... 4 kJ/mol of formula units
Spin magnetization ... 0.99 μB per atom

---

This record from Alexandria describes a relaxed structure of Ac2SnS. The functional is GGA-PBE.

Structure (POSCAR):
```
Ac2SnS
1.0
4.536 0.000 0.000
0.000 4.518 -0.802
0.000 -0.090 12.615
S Sn Ac
2 2 4
direct
0.750 0.807 0.615
0.250 0.193 0.385
0.750 0.543 0.085
0.250 0.457 0.915
0.750 0.688 0.376
0.250 0.312 0.624
0.250 0.072 0.145
0.750 0.928 0.855
```

Properties
Energy above the most stable polymorph in this dataset ... 0 meV per atom
Energy relative to the elements, uncorrected ... -1.29 eV/atom
Spin magnetization ... 0.00 μB per atom

---

This record from Alexandria describes a relaxed structure of TeIrBr2. The functional is GGA-PBE.

Structure (POSCAR):
```
TeIrBr2
1.0
-0.848 1.476 3.067
-2.910 0.168 -0.885
-1.683 -8.928 3.833
Te Br Ir
1 2 1
direct
0.500 0.500 0.674
0.500 0.500 0.335
0.000 0.000 0.962
0.000 0.000 0.530
```

Properties
Energy relative to the elements, uncorrected ... 0.27 eV/atom
Spin magnetization ... 0.00 μB per atom

---

What did the first record say?
This record from Alexandria describes a relaxed structure of BeCrFe2. The functional is GGA-PBE.

Structure (POSCAR):
```
BeCrFe2
1.0
2.402 0.006 0.000
-0.602 2.325 0.000
0.000 0.000 7.560
Fe Be Cr
2 1 1
direct
0.000 0.000 0.002
0.500 0.500 0.265
0.000 0.000 0.495
0.500 0.500 0.738
```

Properties
E_form ... 4 kJ/mol of formula units
Spin magnetization ... 0.99 μB per atom

---

- Number 1 is which compound?
  BeCrFe2

---

- Look up the spin magnetization of the first one.
  0.99 μB per atom